Below is a relaxed TiH crystal, with properties calculated at the PBE level.

Output
Calculated volume = 10.32 Å³/atom
E = -5.80 eV per atom
Theoretical density = 3.9 Mg/m³

Unit cell a=7.421 b=7.421 c=2.999 alpha=90.00 beta=90.00 gamma=90.00
Space group P4/m (No. 83)
Asymmetric unit:
Ti 0.055 0.268 0.000
Ti 0.249 0.591 0.500
H 0.117 0.539 0.000
H 0.181 0.348 0.500



Below is a relaxed HfPaGaCu crystal, with properties calculated at the PBE level.

Output
Calculated volume = 19.75 Å³/atom
E = -6.70 eV per atom
Formation energy = -0.053 eV/atom
Theoretical density = 11.4 Mg/m³

Unit cell a=6.812 b=6.812 c=6.812 alpha=90.00 beta=90.00 gamma=90.00
Space group F-43m (No. 216)
Asymmetric unit:
Hf 0.000 0.000 0.000
Pa 0.000 0.000 0.500
Ga 0.250 0.250 0.250
Cu 0.250 0.250 0.750



Below is a relaxed Re4C3 crystal, with properties calculated at the PBE level.

Output
Distance to the lowest polymorph of the same formula = 1.4088 eV per atom
Calculated volume = 11.91 Å³/atom
E = -9.01 eV per atom
Formation energy = 2.054 eV/atom
Theoretical density = 15.6 Mg/m³

Unit cell a=4.4063 b=4.4063 c=4.9570 alpha=90.00 beta=90.00 gamma=120.00
Space group P6/mmm (No. 191)
Asymmetric unit:
Re 0.0000 0.0000 0.2441
Re 0.3333 0.6667 0.5000
C 0.0000 0.5000 0.0000